No. 1
## LiPa2Ni4P3 (GGA-PBE)

Data for a relaxed structure of LiPa2Ni4P3.

Results
E_form   -0.85 eV/atom

Geometry as CIF:
```
data_LiPa2Ni4P3
_chemical_formula_sum 'Li1 Pa2 Ni4 P3'
_space_group_name_H-M_alt 'P 1'
_space_group_IT_number 1
_cell_length_a 3.8725
_cell_length_b 3.8725
_cell_length_c 9.5587
_cell_angle_alpha 90.00
_cell_angle_beta 90.00
_cell_angle_gamma 90.00
loop_
_space_group_symop_operation_xyz
'x,y,z'
loop_
_atom_site_label
_atom_site_type_symbol
_atom_site_fract_x
_atom_site_fract_y
_atom_site_fract_z
Li1 Li 0.0000 0.0000 0.0000
Pa1 Pa 0.0000 0.5000 0.7466
Pa2 Pa 0.5000 0.0000 0.2534
Ni1 Ni 0.0000 0.0000 0.5000
Ni2 Ni 0.0000 0.5000 0.1366
Ni3 Ni 0.5000 0.0000 0.8634
Ni4 Ni 0.5000 0.5000 0.5000
P1 P 0.0000 0.5000 0.3684
P2 P 0.5000 0.0000 0.6316
P3 P 0.5000 0.5000 0.0000
```

---

No. 2
## Sb3Pt (GGA-PBE)

Data for a relaxed structure of Sb3Pt.

Results
Formation energy without anion corrections   -0.03 eV/atom
Excess energy over the best structure of this formula in the dataset   170 meV per atom

Geometry as CIF:
```
data_Sb3Pt
_chemical_formula_sum 'Sb3 Pt1'
_space_group_name_H-M_alt 'P 1'
_space_group_IT_number 1
_cell_length_a 3.9108
_cell_length_b 3.9108
_cell_length_c 7.6960
_cell_angle_alpha 90.00
_cell_angle_beta 90.00
_cell_angle_gamma 120.00
loop_
_space_group_symop_operation_xyz
'x,y,z'
loop_
_atom_site_label
_atom_site_type_symbol
_atom_site_fract_x
_atom_site_fract_y
_atom_site_fract_z
Sb1 Sb 0.0000 0.0000 0.0000
Sb2 Sb 0.6667 0.3333 0.2905
Sb3 Sb 0.6667 0.3333 0.7095
Pt1 Pt 0.0000 0.0000 0.5000
```

---

No. 3
## TaTc2Pb (GGA-PBE)

Data for a relaxed structure of TaTc2Pb.

Results
E_form   0.30 eV/atom

Geometry as CIF:
```
data_TaTc2Pb
_chemical_formula_sum 'Ta2 Tc4 Pb2'
_space_group_name_H-M_alt 'P 1'
_space_group_IT_number 1
_cell_length_a 3.3459
_cell_length_b 4.4245
_cell_length_c 9.3752
_cell_angle_alpha 90.00
_cell_angle_beta 90.00
_cell_angle_gamma 90.00
loop_
_space_group_symop_operation_xyz
'x,y,z'
loop_
_atom_site_label
_atom_site_type_symbol
_atom_site_fract_x
_atom_site_fract_y
_atom_site_fract_z
Ta1 Ta 0.0000 0.0000 0.0000
Ta2 Ta 0.5000 0.5000 0.5000
Tc1 Tc 0.0000 0.0000 0.4836
Tc2 Tc 0.0000 0.5000 0.7323
Tc3 Tc 0.5000 0.0000 0.2323
Tc4 Tc 0.5000 0.5000 0.9836
Pb1 Pb 0.0000 0.5000 0.2381
Pb2 Pb 0.5000 0.0000 0.7381
```

---

No. 4
## Cs3Ac3PaTe8 (GGA-PBE)

Data for a relaxed structure of Cs3Ac3PaTe8.

Results
Formation energy without anion corrections   -1.36 eV/atom

Geometry as CIF:
```
data_Cs3Ac3PaTe8
_chemical_formula_sum 'Cs3 Ac3 Pa1 Te8'
_space_group_name_H-M_alt 'P 1'
_space_group_IT_number 1
_cell_length_a 10.6813
_cell_length_b 10.6813
_cell_length_c 10.6813
_cell_angle_alpha 53.51
_cell_angle_beta 53.51
_cell_angle_gamma 53.51
loop_
_space_group_symop_operation_xyz
'x,y,z'
loop_
_atom_site_label
_atom_site_type_symbol
_atom_site_fract_x
_atom_site_fract_y
_atom_site_fract_z
Cs1 Cs 0.0000 0.5000 0.5000
Cs2 Cs 0.5000 0.0000 0.5000
Cs3 Cs 0.5000 0.5000 0.0000
Ac1 Ac 0.0000 0.0000 0.5000
Ac2 Ac 0.0000 0.5000 0.0000
Ac3 Ac 0.5000 0.0000 0.0000
Pa1 Pa 0.5000 0.5000 0.5000
Te1 Te 0.2342 0.2342 0.2342
Te2 Te 0.2505 0.7202 0.7202
Te3 Te 0.2798 0.2798 0.7495
Te4 Te 0.2798 0.7495 0.2798
Te5 Te 0.7202 0.2505 0.7202
Te6 Te 0.7202 0.7202 0.2505
Te7 Te 0.7495 0.2798 0.2798
Te8 Te 0.7658 0.7658 0.7658
```

---

No. 5
## Sc2MnAu (GGA-PBE)

Data for a relaxed structure of Sc2MnAu.

Results
E_form   0.02 eV/atom

Geometry as CIF:
```
data_Sc2MnAu
_chemical_formula_sum 'Sc6 Mn3 Au3'
_space_group_name_H-M_alt 'P 1'
_space_group_IT_number 1
_cell_length_a 3.1927
_cell_length_b 3.1927
_cell_length_c 27.7638
_cell_angle_alpha 90.00
_cell_angle_beta 90.00
_cell_angle_gamma 120.00
loop_
_space_group_symop_operation_xyz
'x,y,z'
loop_
_atom_site_label
_atom_site_type_symbol
_atom_site_fract_x
_atom_site_fract_y
_atom_site_fract_z
Sc1 Sc 0.0000 0.0000 0.0000
Sc2 Sc 0.0000 0.0000 0.2361
Sc3 Sc 0.3333 0.6667 0.6667
Sc4 Sc 0.3333 0.6667 0.9028
Sc5 Sc 0.6667 0.3333 0.3333
Sc6 Sc 0.6667 0.3333 0.5695
Mn1 Mn 0.0000 0.0000 0.4884
Mn2 Mn 0.3333 0.6667 0.1551
Mn3 Mn 0.6667 0.3333 0.8217
Au1 Au 0.0000 0.0000 0.7468
Au2 Au 0.3333 0.6667 0.4135
Au3 Au 0.6667 0.3333 0.0801
```

---

No. 6
## CrReW2 (GGA-PBE)

Data for a relaxed structure of CrReW2.

Results
E_form   0.10 eV/atom
Excess energy over the best structure of this formula in the dataset   71 meV per atom

Geometry as CIF:
```
data_CrReW2
_chemical_formula_sum 'Cr2 Re2 W4'
_space_group_name_H-M_alt 'P 1'
_space_group_IT_number 1
_cell_length_a 3.1066
_cell_length_b 4.4200
_cell_length_c 8.6777
_cell_angle_alpha 90.00
_cell_angle_beta 90.00
_cell_angle_gamma 90.00
loop_
_space_group_symop_operation_xyz
'x,y,z'
loop_
_atom_site_label
_atom_site_type_symbol
_atom_site_fract_x
_atom_site_fract_y
_atom_site_fract_z
Cr1 Cr 0.0000 0.0000 0.0000
Cr2 Cr 0.5000 0.5000 0.0000
Re1 Re 0.0000 0.5000 0.7653
Re2 Re 0.5000 0.0000 0.7653
W1 W 0.0000 0.0000 0.5046
W2 W 0.0000 0.5000 0.2407
W3 W 0.5000 0.0000 0.2407
W4 W 0.5000 0.5000 0.5046
```

---

No. 7
## Fe2TcRu (GGA-PBE)

Data for a relaxed structure of Fe2TcRu.

Results
E_form   0.22 eV/atom
Excess energy over the best structure of this formula in the dataset   120 meV per atom

Geometry as CIF:
```
data_Fe2TcRu
_chemical_formula_sum 'Fe4 Tc2 Ru2'
_space_group_name_H-M_alt 'P 1'
_space_group_IT_number 1
_cell_length_a 2.9351
_cell_length_b 4.2776
_cell_length_c 8.4805
_cell_angle_alpha 90.00
_cell_angle_beta 90.00
_cell_angle_gamma 90.00
loop_
_space_group_symop_operation_xyz
'x,y,z'
loop_
_atom_site_label
_atom_site_type_symbol
_atom_site_fract_x
_atom_site_fract_y
_atom_site_fract_z
Fe1 Fe 0.0000 0.0000 0.2472
Fe2 Fe 0.0000 0.0000 0.7528
Fe3 Fe 0.5000 0.5000 0.2528
Fe4 Fe 0.5000 0.5000 0.7472
Tc1 Tc 0.0000 0.5000 0.5000
Tc2 Tc 0.5000 0.0000 0.0000
Ru1 Ru 0.0000 0.5000 0.0000
Ru2 Ru 0.5000 0.0000 0.5000
```

---

No. 8
## HgRuSe2 (GGA-PBE)

Data for a relaxed structure of HgRuSe2.

Results
Formation energy without anion corrections   0.12 eV/atom

Geometry as CIF:
```
data_HgRuSe2
_chemical_formula_sum 'Hg3 Ru3 Se6'
_space_group_name_H-M_alt 'P 1'
_space_group_IT_number 1
_cell_length_a 3.1931
_cell_length_b 3.1931
_cell_length_c 29.2097
_cell_angle_alpha 90.00
_cell_angle_beta 90.00
_cell_angle_gamma 120.00
loop_
_space_group_symop_operation_xyz
'x,y,z'
loop_
_atom_site_label
_atom_site_type_symbol
_atom_site_fract_x
_atom_site_fract_y
_atom_site_fract_z
Hg1 Hg 0.0000 0.0000 0.0000
Hg2 Hg 0.3333 0.6667 0.6667
Hg3 Hg 0.6667 0.3333 0.3333
Ru1 Ru 0.0000 0.0000 0.7442
Ru2 Ru 0.3333 0.6667 0.4109
Ru3 Ru 0.6667 0.3333 0.0775
Se1 Se 0.0000 0.0000 0.2456
Se2 Se 0.0000 0.0000 0.4632
Se3 Se 0.3333 0.6667 0.1298
Se4 Se 0.3333 0.6667 0.9123
Se5 Se 0.6667 0.3333 0.5790
Se6 Se 0.6667 0.3333 0.7965
```

---

For the records above, the corresponding total DFT energy (no corrections) values read -6.873, -4.634, -8.774, -4.663, -6.254, -11.897, -8.926, -4.017 eV per atom.
For the records above, the corresponding total magnetization values read 0.000, 0.000, 0.000, 0.067, 0.997, 0.000, 1.391, 0.035 μB/atom.
For the records above, the corresponding V values read 14.335, 25.484, 17.349, 48.723, 20.424, 14.894, 13.309, 21.493 Å³ per atom.